No. 1
Here is a relaxed structure of Pr2AlGe4Au3 from Alexandria. Energies are from PBE.

Structure (POSCAR):
```
Pr2AlGe4Au3
1.0
-3.4761 1.1517 2.3897
-0.5558 -4.1679 1.2001
6.5433 1.6404 8.7274
Pr Al Ge Au
2 1 4 3
Direct
0.5000 0.0000 0.2547 Pr
0.0000 0.5000 0.7453 Pr
0.5000 0.5000 0.5000 Al
0.5000 0.5000 0.0000 Ge
0.0000 0.0000 0.0000 Ge
0.5000 0.0000 0.6350 Ge
0.0000 0.5000 0.3650 Ge
0.0000 0.0000 0.5000 Au
0.5000 0.0000 0.8623 Au
0.0000 0.5000 0.1377 Au
```

Theoretical density (Mg/m³): 9.4
DOS(E_F) (states/eV/f.u.): 2.877
Energy of formation (eV per atom): -0.519



No. 2
Here is a relaxed structure of Pu2Al4GeAu3 from Alexandria. Energies are from PBE.

Structure (POSCAR):
```
Pu2Al4GeAu3
1.0
4.3713 0.0000 0.0000
0.0000 4.3713 0.0000
0.0000 0.0000 10.5618
Pu Al Ge Au
2 4 1 3
Direct
0.5000 0.0000 0.2554 Pu
0.0000 0.5000 0.7446 Pu
0.5000 0.5000 0.0000 Al
0.0000 0.0000 0.0000 Al
0.5000 0.0000 0.6359 Al
0.0000 0.5000 0.3641 Al
0.5000 0.5000 0.5000 Ge
0.0000 0.0000 0.5000 Au
0.5000 0.0000 0.8694 Au
0.0000 0.5000 0.1306 Au
```

Theoretical density (Mg/m³): 10.4
DOS(E_F) (states/eV/f.u.): 28.217
Energy of formation (eV per atom): -0.452



No. 3
Here is a relaxed structure of Pu2AlGe3Au4 from Alexandria. Energies are from PBE.

Structure (POSCAR):
```
Pu2AlGe3Au4
1.0
-1.0955 -3.7654 -1.8324
2.6896 -2.0844 2.6753
-8.1570 -1.1728 7.2868
Pu Al Ge Au
2 1 3 4
Direct
0.5000 0.0000 0.2376 Pu
0.0000 0.5000 0.7624 Pu
0.5000 0.5000 0.5000 Al
0.0000 0.0000 0.5000 Ge
0.5000 0.0000 0.8589 Ge
0.0000 0.5000 0.1411 Ge
0.5000 0.5000 0.0000 Au
0.0000 0.0000 0.0000 Au
0.5000 0.0000 0.6309 Au
0.0000 0.5000 0.3691 Au
```

Theoretical density (Mg/m³): 12.3
DOS(E_F) (states/eV/f.u.): 28.837
Energy of formation (eV per atom): -0.363